# Mg4TlSnH, relaxed, DFT PBE
# Electronic total energy, eV/atom: -2.348
# Space-group type: No. 63
data_Mg4TlSnH
_cell_length_a 6.294
_cell_length_b 6.212
_cell_length_c 8.100
_cell_angle_alpha 90.00
_cell_angle_beta 112.86
_cell_angle_gamma 90.00
_symmetry_space_group_name_H-M 'P 1'
_symmetry_Int_Tables_number 1
_symmetry_space_group_name_Hall 'P 1'
loop_
_atom_site_label
_atom_site_fract_x
_atom_site_fract_y
_atom_site_fract_z
Mg1 0.590 0.250 0.181
Mg2 0.500 0.000 0.500
Mg3 0.084 0.750 0.168
Mg4 0.410 0.750 0.819
Mg5 0.500 0.500 0.500
Mg6 0.916 0.250 0.832
Mg7 0.000 0.500 0.500
Mg8 0.000 0.000 0.500
Sn1 0.888 0.750 0.776
Sn2 0.112 0.250 0.224
H1 0.741 0.250 0.481
H2 0.259 0.750 0.519
Tl1 0.395 0.250 0.790
Tl2 0.605 0.750 0.210